SmV2TcO8 | PBE+U | relaxed

Calculated values
Energy ... -7.85 eV/atom
Calculated volume ... 153.75 Å³/cell
Symmetry ... C2/m (12)

The structure in POSCAR format:
```
SmV2TcO8
1.0
4.822 0.246 0.197
0.294 4.820 0.195
0.255 0.256 6.655
V O Tc Sm
2 8 1 1
direct
0.466 0.466 0.725
0.534 0.534 0.275
0.251 0.251 0.951
0.674 0.674 0.500
0.326 0.326 0.500
0.781 0.230 0.220
0.219 0.770 0.780
0.230 0.781 0.220
0.749 0.749 0.049
0.770 0.219 0.780
0.000 0.000 0.000
0.000 0.000 0.500
```